VASP calculation (PBE) on a relaxed structure of Cd2HgSe.

POSCAR file:
```
Cd2HgSe
1.0
4.056 0.000 0.000
0.000 4.066 0.000
0.000 0.000 6.318
Cd Hg Se
2 1 1
Direct
0.000 0.000 0.000
0.500 0.000 0.500
0.000 0.500 0.500
0.500 0.500 0.000
```

## Properties
Formation energy (no corrections)   -80 meV/atom
Raw total energy   -1.484 eV per atom

---

VASP calculation (PBE) on a relaxed structure of CdHgSe3.

POSCAR file:
```
CdHgSe3
1.0
5.276 0.000 0.000
0.000 5.276 0.000
0.000 0.000 5.276
Cd Hg Se
1 1 3
Direct
0.000 0.000 0.000
0.500 0.500 0.500
0.000 0.000 0.500
0.000 0.500 0.000
0.500 0.000 0.000
```

## Properties
Formation energy (no corrections)   546 meV/atom
Raw total energy   -1.788 eV per atom

---

VASP calculation (PBE) on a relaxed structure of CdHgSe.

POSCAR file:
```
CdHgSe
1.0
5.309 0.000 0.000
-2.654 4.597 0.000
0.000 0.000 2.987
Cd Hg Se
1 1 1
Direct
0.000 0.000 0.000
0.333 0.667 0.514
0.667 0.333 0.001
```

## Properties
Formation energy (no corrections)   83 meV/atom
Raw total energy   -1.485 eV per atom

---

VASP calculation (PBE) on a relaxed structure of CdSnHg2Se4.

POSCAR file:
```
CdSnHg2Se4
1.0
8.930 0.000 0.000
0.000 7.705 0.000
0.000 0.000 7.517
Cd Sn Hg Se
2 2 4 8
Direct
0.000 0.179 0.000
0.500 0.821 0.500
0.000 0.835 0.505
0.500 0.165 0.005
0.250 0.335 0.496
0.250 0.665 0.996
0.750 0.335 0.496
0.750 0.665 0.996
0.000 0.182 0.360
0.000 0.843 0.904
0.241 0.338 0.861
0.259 0.662 0.361
0.500 0.157 0.404
0.500 0.818 0.860
0.741 0.662 0.361
0.759 0.338 0.861
```

## Properties
Formation energy (no corrections)   -293 meV/atom
Raw total energy   -2.725 eV per atom